Crystalline Zr2TiHg2 at its relaxed geometry, computed with PBE.

Geometry as POSCAR:
```
Zr2TiHg2
1.0
-1.4671 4.5611 5.5531
3.9599 -4.2164 4.5093
3.3245 2.1622 -0.8977
Hg Zr Ti
4 4 2
direct
0.8649 0.6351 0.0000
0.1351 0.3649 0.0000
0.6351 0.1351 0.0000
0.3649 0.8649 0.0000
0.3271 0.1729 0.5000
0.8271 0.3271 0.5000
0.1729 0.6729 0.5000
0.6729 0.8271 0.5000
0.5000 0.5000 0.0000
0.0000 0.0000 0.0000
```

Summary:
Energy relative to the lowest polymorph listed for this composition (kJ/mol of atoms): 8.2
Space-group type: P4/mbm
Total energy (eV/atom): -5.07